NdMoI4O15: relaxed, PBE+U.

abc: 7.132 14.171 7.283
angles: 90.00 114.08 90.00
Fractional coordinates of all 42 atoms:
Nd  0.083  0.000  0.444
Nd  0.917  0.500  0.556
Mo  0.419  0.671  0.224
Mo  0.581  0.171  0.776
I  0.155  0.132  0.962
I  0.241  0.749  0.709
I  0.250  0.412  0.116
I  0.479  0.914  0.259
I  0.521  0.414  0.741
I  0.750  0.912  0.884
I  0.759  0.249  0.291
I  0.845  0.632  0.038
O  0.048  0.405  0.863
O  0.051  0.656  0.611
O  0.078  0.850  0.602
O  0.092  0.034  0.782
O  0.231  0.065  0.195
O  0.235  0.754  0.965
O  0.237  0.573  0.071
O  0.247  0.289  0.191
O  0.275  0.708  0.357
O  0.285  0.480  0.625
O  0.384  0.100  0.608
O  0.403  0.915  0.473
O  0.405  0.293  0.701
O  0.420  0.157  0.989
O  0.487  0.410  0.076
O  0.513  0.910  0.924
O  0.580  0.657  0.011
O  0.595  0.793  0.299
O  0.597  0.415  0.527
O  0.616  0.600  0.392
O  0.715  0.980  0.375
O  0.725  0.208  0.643
O  0.753  0.789  0.809
O  0.763  0.073  0.929
O  0.765  0.254  0.035
O  0.769  0.565  0.805
O  0.908  0.534  0.218
O  0.922  0.350  0.398
O  0.949  0.156  0.389
O  0.952  0.905  0.137

Computed properties:
DFT total energy ... -5.2910 eV/atom
SG ... P2_1, No. 4